This record from the Alexandria database describes VAuO2 after structural relaxation. The functional is GGA+U. Values from VASP.

The structure in Quantum ESPRESSO input format:
```
&SYSTEM
  ibrav = 0, nat = 4, ntyp = 3
/
ATOMIC_SPECIES
V 50.94 V.upf
Au 196.97 Au.upf
O 16.00 O.upf
ATOMIC_POSITIONS crystal
V 0.0000 0.0000 0.0000
Au 0.5000 0.5000 0.5000
O 0.5000 0.0000 0.1449
O 0.5000 0.0000 0.8551
CELL_PARAMETERS angstrom
2.7277 0.0000 0.0000
0.0000 2.8599 0.0000
0.0000 0.0000 8.5634
```

## Properties
For the total DFT energy (no corrections), the calculation gives -23.546 eV per formula unit. Its space group is No. 47. As for the total moment: 0.0 μB/f.u. For the calculated volume, the calculation gives 66.8 Å³ per cell. The calculation puts the density of states at the Fermi level at 0.65 states/eV per cell.